A relaxed LaPu2Pb3 crystal, computed with PBE.

a b c (Å): 3.5192 3.5192 14.0732
angles (deg): 90.00 90.00 90.00
Closest atoms and distances in Å follow each position.
Atoms (fractional coordinates):
La: 0.5000 0.5000 0.5000  8 Pb 3.48, 4 La 3.52
Pb: 0.0000 0.0000 0.0000  8 Pu 3.39, 4 Pb 3.52
Pb: 0.0000 0.0000 0.3272  4 Pu 3.39, 4 La 3.48, 4 Pb 3.52
Pb: 0.0000 0.0000 0.6728  4 Pu 3.39, 4 La 3.48, 4 Pb 3.52
Pu: 0.5000 0.5000 0.8363  8 Pb 3.39, 4 Pu 3.52
Pu: 0.5000 0.5000 0.1637  8 Pb 3.39, 4 Pu 3.52

Calculated values
ΔH_f (0 K): -29 kJ/mol of atoms



A relaxed Tb2WS6 crystal, computed with PBE.

a b c (Å): 6.1974 7.1134 8.6921
angles (deg): 90.00 91.12 90.00
Closest atoms and distances in Å follow each position.
Atoms (fractional coordinates):
S: 0.8466 0.6984 0.5578  1 W 2.40
S: 0.6533 0.1984 0.9422  1 W 2.40
S: 0.1751 0.3312 0.0599  1 W 2.41
S: 0.8249 0.6688 0.9401  1 W 2.41
S: 0.3249 0.8312 0.4401  1 W 2.41
S: 0.1203 0.0259 0.7619  1 W 2.39
S: 0.3466 0.8016 0.0578  1 W 2.40
S: 0.6751 0.1688 0.5599  1 W 2.41
S: 0.3797 0.5259 0.7381  1 W 2.39
S: 0.1533 0.3016 0.4422  1 W 2.40
S: 0.8797 0.9741 0.2381  1 W 2.39
S: 0.6203 0.4741 0.2619  1 W 2.39
W: 0.0000 0.0000 0.5000  6 S 2.39-2.41
W: 0.5000 0.5000 0.0000  6 S 2.39-2.41
Tb: 0.5316 0.8831 0.7464  8 S 2.71-3.02
Tb: 0.9684 0.3831 0.7536  8 S 2.71-3.02
Tb: 0.0316 0.6169 0.2464  8 S 2.71-3.02
Tb: 0.4684 0.1169 0.2536  8 S 2.71-3.02

Calculated values
DFT total energy: -6.464 eV/atom